(1)
This record from Alexandria via LeMat-Bulk describes Zr3Ag2 after structural relaxation. The functional is GGA-PBE.

Summary:
DFT formation energy ... -0.0563 eV/atom
ΔE to the lowest computed polymorph ... 0.0 kJ/mol of formula units
Calculated density ... 7.8 g cm⁻³
Total magnetic moment ... 0.00 μB per atom
DOS at the Fermi energy ... 0.845 states/eV per atom

Cell: 3.150 3.150 21.120 Å, 90.00 90.00 90.00°
Space group I4/mmm (No. 139)
Unique sites:
Zr 0.000 0.000 0.000 x2
Zr 0.000 0.000 0.198 x4
Ag 0.000 0.000 0.402 x4

=====

(2)
This record from Alexandria via LeMat-Bulk describes ZrAg2 after structural relaxation. The functional is GGA-PBE.

Summary:
DFT formation energy ... 0.4486 eV/atom
ΔE to the lowest computed polymorph ... 147.5 kJ/mol of formula units
Calculated density ... 6.7 g cm⁻³
Total magnetic moment ... 0.00 μB per atom
DOS at the Fermi energy ... 0.686 states/eV per atom

Cell: 5.047 5.047 2.970 Å, 90.00 90.00 90.00°
Space group P4/mmm (No. 123)
Unique sites:
Zr 0.000 0.000 0.000 x1
Ag 0.000 0.500 0.500 x2

=====

(3)
This record from Alexandria via LeMat-Bulk describes ZrAg2 after structural relaxation. The functional is GGA-PBE.

Summary:
DFT formation energy ... 0.0638 eV/atom
ΔE to the lowest computed polymorph ... 36.1 kJ/mol of formula units
Calculated density ... 8.6 g cm⁻³
Total magnetic moment ... 0.00 μB per atom
DOS at the Fermi energy ... 0.631 states/eV per atom

Cell: 11.590 3.080 6.886 Å, 90.00 105.74 90.00°
Space group Cm (No. 8)
Unique sites:
Zr 0.000 0.000 0.000 x2
Zr 0.162 0.500 0.335 x2
Ag 0.136 0.500 0.759 x2
Ag 0.290 0.000 0.085 x2
Ag 0.333 0.000 0.669 x2
Ag 0.457 0.500 0.428 x2